(1)
VASP calculation (PBE-GGA) on a relaxed SiRh2Pb crystal.

Properties
The calculation puts the energy at -6.30 eV/atom. Its formation energy without anion corrections is -33 kJ per mole of atoms. The space group is P4/mmm (123).

a = 3.0036 Å, b = 3.0036 Å, c = 7.3882 Å
α = 90.00°, β = 90.00°, γ = 90.00°
Closest atoms and distances in Å follow each position.
Fractional positions:
Si  0.0000  0.0000  0.0000  8 Rh 2.53
Rh  0.5000  0.5000  0.1850  4 Si 2.53, 1 Rh 2.73
Rh  0.5000  0.5000  0.8150  4 Si 2.53, 1 Rh 2.73
Pb  0.0000  0.0000  0.5000  4 Pb 3.00, 8 Rh 3.15

---

(2)
VASP calculation (PBE-GGA) on a relaxed KHgW2 crystal.

Properties
The calculation puts the energy at -5.58 eV/atom. The formation energy is 1.243 eV/atom. The space group is Imm2 (44).

a = 6.3556 Å, b = 6.3556 Å, c = 6.3556 Å
α = 151.94°, β = 125.42°, γ = 62.48°
Closest atoms and distances in Å follow each position.
Fractional positions:
K  0.0000  0.0000  0.0000  2 K 3.08, 4 W 3.32
Hg  0.7072  0.2072  0.5000  2 W 3.03, 2 Hg 3.08
W  0.2976  0.7976  0.5000  2 W 2.40
W  0.4668  0.4668  0.0000  2 W 2.40

---

(3)
VASP calculation (PBE-GGA) on a relaxed AlGaNiAg2 crystal.

Properties
The calculation puts the energy at -3.04 eV/atom. The formation energy is 0.613 eV/atom. The space group is P4/mmm (123).

a = 4.8098 Å, b = 4.8098 Å, c = 4.4401 Å
α = 90.00°, β = 90.00°, γ = 90.00°
Closest atoms and distances in Å follow each position.
Fractional positions:
Al  0.0000  0.0000  0.0000  8 Ag 3.27, 4 Ni 3.40
Ga  0.5000  0.5000  0.5000  2 Ni 2.22, 4 Ag 2.40
Ni  0.5000  0.5000  0.0000  2 Ga 2.22
Ag  0.0000  0.5000  0.5000  2 Ga 2.40
Ag  0.5000  0.0000  0.5000  2 Ga 2.40

---

(4)
VASP calculation (PBE-GGA) on a relaxed BeTlRh2 crystal.

Properties
The calculation puts the energy at -5.25 eV/atom. The formation energy is -0.052 eV/atom. The space group is R-3m (166).

a = 7.1461 Å, b = 7.1461 Å, c = 7.1461 Å
α = 25.90°, β = 25.90°, γ = 25.90°
Closest atoms and distances in Å follow each position.
Fractional positions:
Be  0.0000  0.0000  0.0000  6 Rh 2.24
Tl  0.5000  0.5000  0.5000  6 Rh 2.87, 6 Tl 3.20
Rh  0.2726  0.2726  0.2726  3 Be 2.24
Rh  0.7274  0.7274  0.7274  3 Be 2.24

---

(5)
VASP calculation (PBE-GGA) on a relaxed Sr2TlGaAu6 crystal.

Properties
The calculation puts the energy at -3.25 eV/atom. The formation energy is -0.409 eV/atom. The space group is C2/m (12).

a = 7.1922 Å, b = 7.1922 Å, c = 9.4867 Å
α = 129.45°, β = 129.45°, γ = 45.18°
Closest atoms and distances in Å follow each position.
Fractional positions:
Sr  0.2470  0.2470  0.2142  7 Au 3.25-3.56
Sr  0.7530  0.7530  0.7858  7 Au 3.25-3.56
Tl  0.5000  0.5000  0.0000  6 Au 2.88-2.92
Ga  0.0000  0.0000  0.5000  6 Au 2.62-2.75
Au  0.2369  0.7372  0.2532  1 Ga 2.62, 2 Au 2.76, 1 Tl 2.88
Au  0.2454  0.2454  0.5877  1 Ga 2.75, 1 Tl 2.92, 4 Au 2.96-3.07
Au  0.2628  0.7631  0.7468  1 Ga 2.62, 2 Au 2.76, 1 Tl 2.88
Au  0.7372  0.2369  0.2532  1 Ga 2.62, 2 Au 2.76, 1 Tl 2.88
Au  0.7546  0.7546  0.4123  1 Ga 2.75, 1 Tl 2.92, 4 Au 2.96-3.07
Au  0.7631  0.2628  0.7468  1 Ga 2.62, 2 Au 2.76, 1 Tl 2.88

---

(6)
VASP calculation (PBE-GGA) on a relaxed UBe17Nb crystal.

Properties
The calculation puts the energy at -4.54 eV/atom. The formation energy is -0.085 eV/atom. The space group is R3m (160).

a = 5.6943 Å, b = 5.6943 Å, c = 5.6943 Å
α = 82.85°, β = 82.85°, γ = 82.85°
Closest atoms and distances in Å follow each position.
Fractional positions:
U  0.0000  0.0000  0.0000  19 Be 2.71-2.90
Be  0.0516  0.3417  0.6235  8 Be 2.12-2.38
Be  0.0516  0.6235  0.3417  8 Be 2.12-2.38
Be  0.1825  0.6796  0.6796  9 Be 2.17-2.38
Be  0.2454  0.2454  0.2454  7 Be 2.12-2.38
Be  0.3403  0.3403  0.8383  10 Be 2.14-2.32
Be  0.3403  0.8383  0.3403  10 Be 2.14-2.32
Be  0.3417  0.0516  0.6235  8 Be 2.12-2.38
Be  0.3417  0.6235  0.0516  8 Be 2.12-2.38
Be  0.4382  0.4382  0.4382  7 Be 2.12-2.32
Be  0.4983  0.9939  0.9939  9 Be 2.18-2.38
Be  0.6235  0.0516  0.3417  8 Be 2.12-2.38
Be  0.6235  0.3417  0.0516  8 Be 2.12-2.38
Be  0.6796  0.1825  0.6796  9 Be 2.17-2.38
Be  0.6796  0.6796  0.1825  9 Be 2.17-2.38
Be  0.8383  0.3403  0.3403  10 Be 2.14-2.32
Be  0.9939  0.4983  0.9939  9 Be 2.18-2.38
Be  0.9939  0.9939  0.4983  9 Be 2.18-2.38
Nb  0.6757  0.6757  0.6757  19 Be 2.62-2.89